# 1
The following is a PBE calculation of a geometry-optimized Nd2FeSiC structure, from Alexandria via LeMat-Bulk.

abc: 6.234 4.024 8.580
angles: 90.00 109.65 90.00
Space group P2_1/m (No. 11)
Asymmetric unit:
Nd: 0.213 0.250 0.392
Nd: 0.231 0.250 0.968
Fe: 0.496 0.750 0.253
Si: 0.325 0.750 0.701
C: 0.201 0.750 0.177

As for the density of states at the Fermi level: 0.7473 states/eV per atom. The calculation puts the energy relative to the elements, uncorrected at -1.74 eV/f.u.

***

# 2
The following is a PBE calculation of a geometry-optimized AlPSeN2 structure, from Alexandria via LeMat-Bulk.

abc: 3.451 3.451 6.469
angles: 90.00 90.00 90.00
Space group P4/mmm (No. 123)
Asymmetric unit:
Al: 0.000 0.000 0.000
P: 0.500 0.500 0.500
Se: 0.500 0.500 0.000
N: 0.000 0.500 0.500

As for the density of states at the Fermi level: 0.3741 states/eV per atom. The calculation puts the energy relative to the elements, uncorrected at 3.34 eV/f.u.

***

# 3
The following is a PBE calculation of a geometry-optimized Y2ZrSnP structure, from Alexandria via LeMat-Bulk.

abc: 5.606 5.606 5.305
angles: 90.00 90.00 90.00
Space group P4/mmm (No. 123)
Asymmetric unit:
Y: 0.000 0.500 0.000
Zr: 0.000 0.000 0.500
Sn: 0.000 0.000 0.000
P: 0.500 0.500 0.500

As for the density of states at the Fermi level: 1.1447 states/eV per atom. For the energy relative to the elements, the calculation gives 554.3 meV/atom.

***

# 4
The following is a PBE calculation of a geometry-optimized CuReSi2 structure, from Alexandria via LeMat-Bulk.

abc: 3.851 3.851 7.085
angles: 90.00 90.00 90.00
Space group I4/mmm (No. 139)
Asymmetric unit:
Cu: 0.000 0.000 0.000
Re: 0.000 0.000 0.500
Si: 0.000 0.500 0.250

As for the density of states at the Fermi level: 0.3010 states/eV per atom. The calculation puts the energy relative to the elements, uncorrected at 0.25 eV/f.u.

***

# 5
The following is a PBE calculation of a geometry-optimized MgSn3Os structure, from Alexandria via LeMat-Bulk.

abc: 5.184 5.184 5.184
angles: 90.00 90.00 90.00
Space group Pm-3m (No. 221)
Asymmetric unit:
Mg: 0.000 0.000 0.000
Sn: 0.000 0.500 0.500
Os: 0.500 0.500 0.500

As for the density of states at the Fermi level: 0.8829 states/eV per atom. For the energy relative to the elements, the calculation gives 348.2 meV/atom.

***

# 6
The following is a PBE calculation of a geometry-optimized Ta4Tc2Mo structure, from Alexandria via LeMat-Bulk.

abc: 6.337 6.337 6.296
angles: 90.00 90.00 90.00
Space group I4/mmm (No. 139)
Asymmetric unit:
Ta: 0.250 0.250 0.250
Tc: 0.000 0.500 0.000
Mo: 0.000 0.000 0.000

As for the density of states at the Fermi level: 0.7197 states/eV per atom. For the energy relative to the elements, the calculation gives -25.1 meV/atom.